Entry 1:
HfInNi2: optimized geometry, PBE.

Results
The value obtained for the density of states at the Fermi level is 8.3 states/eV per cell. Its raw total energy is -5.91 eV/atom. The calculation puts the formation energy at 151.3 meV per atom.

Cell lengths 5.7140, 5.7140, 5.7140 Å; angles 104.53, 104.53, 119.88 degrees
Sites, in units of the cell vectors:
Hf1 0.0000 0.0000 0.0000
Hf2 0.7500 0.2500 0.5000
In1 0.2500 0.7500 0.5000
In2 0.5000 0.5000 0.0000
Ni1 0.1152 0.1250 0.4902
Ni2 0.3750 0.8848 0.0098
Ni3 0.6348 0.6250 0.5098
Ni4 0.8750 0.3652 0.9902

Entry 2:
HfInNi3: optimized geometry, PBE.

Results
The value obtained for the density of states at the Fermi level is 6.0 states/eV per cell. Its raw total energy is -5.11 eV/atom. The calculation puts the formation energy at 895.7 meV per atom.

Cell lengths 4.5488, 4.5488, 4.5488 Å; angles 90.00, 90.00, 90.00 degrees
Sites, in units of the cell vectors:
Hf1 0.0000 0.0000 0.0000
In1 0.5000 0.5000 0.5000
Ni1 0.0000 0.5000 0.5000
Ni2 0.5000 0.0000 0.5000
Ni3 0.5000 0.5000 0.0000

Entry 3:
HfInNi4: optimized geometry, PBE.

Results
The value obtained for the density of states at the Fermi level is 5.9 states/eV per cell. Its raw total energy is -6.35 eV/atom. The calculation puts the formation energy at -377.4 meV per atom.

Cell lengths 4.8827, 4.8827, 4.8827 Å; angles 60.00, 60.00, 60.00 degrees
Sites, in units of the cell vectors:
Hf1 0.0000 0.0000 0.0000
In1 0.2500 0.2500 0.2500
Ni1 0.1247 0.6251 0.6251
Ni2 0.6251 0.1247 0.6251
Ni3 0.6251 0.6251 0.1247
Ni4 0.6251 0.6251 0.6251

Entry 4:
Hf3InNi: optimized geometry, PBE.

Results
The value obtained for the density of states at the Fermi level is 4.1 states/eV per cell. As for the energy above the most stable polymorph in this dataset: 0 meV per atom. Its raw total energy is -7.62 eV/atom. The calculation puts the formation energy at 51.9 meV per atom.

Cell lengths 4.8170, 4.8170, 4.8170 Å; angles 90.00, 90.00, 90.00 degrees
Sites, in units of the cell vectors:
Hf1 0.0000 0.0000 0.5000
Hf2 0.0000 0.5000 0.0000
Hf3 0.5000 0.0000 0.0000
In1 0.5000 0.5000 0.5000
Ni1 0.0000 0.0000 0.0000

Entry 5:
HfIn2Ni2: optimized geometry, PBE.

Results
The value obtained for the density of states at the Fermi level is 6.6 states/eV per cell. As for the energy above the most stable polymorph in this dataset: 0 meV per atom. Its raw total energy is -5.52 eV/atom. The calculation puts the formation energy at -124.5 meV per atom.

Cell lengths 7.4353, 7.4353, 3.0760 Å; angles 90.00, 90.00, 90.00 degrees
Sites, in units of the cell vectors:
Hf1 0.0000 0.0000 0.0000
Hf2 0.5000 0.5000 0.0000
In1 0.1627 0.3373 0.5000
In2 0.3373 0.8373 0.5000
In3 0.6627 0.1627 0.5000
In4 0.8373 0.6627 0.5000
Ni1 0.1327 0.6327 0.0000
Ni2 0.3673 0.1327 0.0000
Ni3 0.6327 0.8673 0.0000
Ni4 0.8673 0.3673 0.0000

Entry 6:
Hf6InNi6: optimized geometry, PBE.

Results
The value obtained for the density of states at the Fermi level is 14.3 states/eV per cell. Its raw total energy is -7.80 eV/atom. The calculation puts the formation energy at -325.2 meV per atom.

Cell lengths 6.9628, 6.9628, 6.9628 Å; angles 136.86, 99.14, 96.40 degrees
Sites, in units of the cell vectors:
Hf1 0.1570 0.5000 0.6570
Hf2 0.1622 0.1622 0.0000
Hf3 0.3217 0.0000 0.3217
Hf4 0.6783 0.0000 0.6783
Hf5 0.8378 0.8378 0.0000
Hf6 0.8430 0.5000 0.3430
In1 0.5000 0.5000 0.0000
Ni1 0.0000 0.0000 0.5000
Ni2 0.0000 0.5000 0.0000
Ni3 0.2610 0.7610 0.5000
Ni4 0.5000 0.0000 0.0000
Ni5 0.5000 0.5000 0.5000
Ni6 0.7390 0.2390 0.5000

Entry 7:
Hf4InNi: optimized geometry, PBE.

Results
The value obtained for the density of states at the Fermi level is 16.6 states/eV per cell. Its raw total energy is -8.22 eV/atom. The calculation puts the formation energy at -164.4 meV per atom.

Cell lengths 6.7293, 6.7293, 5.4144 Å; angles 90.00, 90.00, 90.00 degrees
Sites, in units of the cell vectors:
Hf1 0.1364 0.3226 0.0000
Hf2 0.1364 0.6774 0.5000
Hf3 0.3226 0.1364 0.5000
Hf4 0.3226 0.8636 0.0000
Hf5 0.6774 0.1364 0.0000
Hf6 0.6774 0.8636 0.5000
Hf7 0.8636 0.3226 0.5000
Hf8 0.8636 0.6774 0.0000
In1 0.5000 0.5000 0.2500
In2 0.5000 0.5000 0.7500
Ni1 0.0000 0.0000 0.2500
Ni2 0.0000 0.0000 0.7500

Entry 8:
HfIn2NiPb: optimized geometry, PBE.

Results
The value obtained for the density of states at the Fermi level is 2.3 states/eV per cell. Its raw total energy is -4.55 eV/atom. The calculation puts the formation energy at 430.4 meV per atom.

Cell lengths 4.8741, 4.8741, 5.1072 Å; angles 90.00, 90.00, 90.00 degrees
Sites, in units of the cell vectors:
Hf1 0.0000 0.0000 0.0000
In1 0.0000 0.5000 0.5000
In2 0.5000 0.0000 0.5000
Ni1 0.5000 0.5000 0.5000
Pb1 0.5000 0.5000 0.0000

Entry 9:
HfInNiPt: optimized geometry, PBE.

Results
The value obtained for the density of states at the Fermi level is 3.5 states/eV per cell. Its raw total energy is -6.75 eV/atom. The calculation puts the formation energy at -620.1 meV per atom.

Cell lengths 4.5816, 4.5816, 4.5816 Å; angles 60.00, 60.00, 60.00 degrees
Sites, in units of the cell vectors:
Hf1 0.0000 0.0000 0.0000
In1 0.5000 0.5000 0.5000
Ni1 0.7500 0.7500 0.7500
Pt1 0.2500 0.2500 0.2500

Entry 10:
HfZnInNi: optimized geometry, PBE.

Results
The value obtained for the density of states at the Fermi level is 2.5 states/eV per cell. Its raw total energy is -5.16 eV/atom. The calculation puts the formation energy at -220.8 meV per atom.

Cell lengths 4.5496, 4.5496, 4.5496 Å; angles 60.00, 60.00, 60.00 degrees
Sites, in units of the cell vectors:
Hf1 0.0000 0.0000 0.0000
Zn1 0.2500 0.2500 0.2500
In1 0.5000 0.5000 0.5000
Ni1 0.7500 0.7500 0.7500

Entry 11:
Hf2NpIn: optimized geometry, PBE.

Results
The value obtained for the density of states at the Fermi level is 7.7 states/eV per cell. As for the energy above the most stable polymorph in this dataset: 7 meV per atom. Its raw total energy is -8.76 eV/atom. The calculation puts the formation energy at 134.1 meV per atom.

Cell lengths 3.0351, 3.0351, 9.6312 Å; angles 90.00, 90.00, 90.00 degrees
Sites, in units of the cell vectors:
Hf1 0.0000 0.0000 0.2463
Hf2 0.0000 0.0000 0.7537
Np1 0.5000 0.5000 0.5000
In1 0.5000 0.5000 0.0000

Entry 12:
HfNpIn2: optimized geometry, PBE.

Results
The value obtained for the density of states at the Fermi level is 11.7 states/eV per cell. Its raw total energy is -6.93 eV/atom. The calculation puts the formation energy at 161.1 meV per atom.

Cell lengths 4.5100, 4.5100, 4.6853 Å; angles 90.00, 90.00, 90.00 degrees
Sites, in units of the cell vectors:
Hf1 0.0000 0.0000 0.0000
Np1 0.5000 0.5000 0.0000
In1 0.0000 0.5000 0.5000
In2 0.5000 0.0000 0.5000

Entry 13:
Hf2NpIn: optimized geometry, PBE.

Results
The value obtained for the density of states at the Fermi level is 7.3 states/eV per cell. As for the energy above the most stable polymorph in this dataset: 35 meV per atom. Its raw total energy is -8.73 eV/atom. The calculation puts the formation energy at 162.2 meV per atom.

Cell lengths 10.3291, 10.3291, 10.3291 Å; angles 17.95, 17.95, 17.95 degrees
Sites, in units of the cell vectors:
Hf1 0.2503 0.2503 0.2503
Hf2 0.7497 0.7497 0.7497
Np1 0.0000 0.0000 0.0000
In1 0.5000 0.5000 0.5000

Entry 14:
Hf2NpIn: optimized geometry, PBE.

Results
The value obtained for the density of states at the Fermi level is 8.7 states/eV per cell. As for the energy above the most stable polymorph in this dataset: 0 meV per atom. Its raw total energy is -8.77 eV/atom. The calculation puts the formation energy at 127.5 meV per atom.

Cell lengths 4.6281, 4.6281, 4.1949 Å; angles 90.00, 90.00, 90.00 degrees
Sites, in units of the cell vectors:
Hf1 0.0000 0.5000 0.0000
Hf2 0.5000 0.0000 0.0000
Np1 0.0000 0.0000 0.5000
In1 0.5000 0.5000 0.5000

Entry 15:
Hf2NpIn: optimized geometry, PBE.

Results
The value obtained for the density of states at the Fermi level is 10.7 states/eV per cell. As for the energy above the most stable polymorph in this dataset: 141 meV per atom. Its raw total energy is -8.63 eV/atom. The calculation puts the formation energy at 268.6 meV per atom.

Cell lengths 5.0237, 5.0237, 5.0237 Å; angles 60.00, 60.00, 60.00 degrees
Sites, in units of the cell vectors:
Hf1 0.2500 0.2500 0.2500
Hf2 0.7500 0.7500 0.7500
Np1 0.0000 0.0000 0.0000
In1 0.5000 0.5000 0.5000

Entry 16:
HfNpInO6: optimized geometry, PBE.

Results
The value obtained for the energy relative to the elements, uncorrected is -23.6 eV per formula unit. The value obtained for the density of states at the Fermi level is 12.5 states/eV per cell. Its raw total energy is -8.77 eV/atom.

Cell lengths 5.5665, 5.5665, 9.1646 Å; angles 90.00, 90.00, 120.00 degrees
Sites, in units of the cell vectors:
Hf1 0.3333 0.6667 0.2500
Hf2 0.6667 0.3333 0.7500
Np1 0.3333 0.6667 0.7500
Np2 0.6667 0.3333 0.2500
In1 0.0000 0.0000 0.0000
In2 0.0000 0.0000 0.5000
O1 0.0065 0.3460 0.1328
O2 0.0065 0.6605 0.3672
O3 0.3395 0.3460 0.3672
O4 0.3395 0.9935 0.1328
O5 0.3460 0.0065 0.6328
O6 0.3460 0.3395 0.8672
O7 0.6540 0.6605 0.1328
O8 0.6540 0.9935 0.3672
O9 0.6605 0.0065 0.8672
O10 0.6605 0.6540 0.6328
O11 0.9935 0.3395 0.6328
O12 0.9935 0.6540 0.8672

Entry 17:
HfZrNpIn: optimized geometry, PBE.

Results
The value obtained for the density of states at the Fermi level is 12.3 states/eV per cell. Its raw total energy is -8.32 eV/atom. The calculation puts the formation energy at 220.5 meV per atom.

Cell lengths 5.0429, 5.0429, 5.0429 Å; angles 60.00, 60.00, 60.00 degrees
Sites, in units of the cell vectors:
Hf1 0.0000 0.0000 0.0000
Zr1 0.5000 0.5000 0.5000
Np1 0.2500 0.2500 0.2500
In1 0.7500 0.7500 0.7500

Entry 18:
HfInO: optimized geometry, PBE.

Results
The value obtained for the energy relative to the elements, uncorrected is -4.6 eV per formula unit. The value obtained for the density of states at the Fermi level is 3.1 states/eV per cell. Its raw total energy is -7.41 eV/atom.

Cell lengths 10.0672, 10.0672, 3.7846 Å; angles 90.00, 90.00, 161.53 degrees
Sites, in units of the cell vectors:
Hf1 0.1877 0.8123 0.7500
Hf2 0.8123 0.1877 0.2500
In1 0.4411 0.5589 0.2500
In2 0.5589 0.4411 0.7500
O1 0.2260 0.7740 0.2500
O2 0.7740 0.2260 0.7500

Entry 19:
Hf2InO: optimized geometry, PBE.

Results
The value obtained for the energy relative to the elements, uncorrected is -4.8 eV per formula unit. The value obtained for the density of states at the Fermi level is 3.1 states/eV per cell. As for the energy above the most stable polymorph in this dataset: 0 meV per atom. Its raw total energy is -8.10 eV/atom.

Cell lengths 7.9651, 7.9651, 7.9651 Å; angles 23.06, 23.06, 23.06 degrees
Sites, in units of the cell vectors:
Hf1 0.0000 0.0000 0.0000
Hf2 0.2138 0.2138 0.2138
In1 0.4399 0.4399 0.4399
O1 0.6069 0.6069 0.6069

Entry 20:
Hf2InO: optimized geometry, PBE.

Results
The value obtained for the energy relative to the elements, uncorrected is -0.4 eV per formula unit. The value obtained for the density of states at the Fermi level is 3.6 states/eV per cell. As for the energy above the most stable polymorph in this dataset: 1102 meV per atom. Its raw total energy is -7.00 eV/atom.

Cell lengths 4.6892, 4.6892, 4.6892 Å; angles 60.00, 60.00, 60.00 degrees
Sites, in units of the cell vectors:
Hf1 0.2500 0.2500 0.2500
Hf2 0.7500 0.7500 0.7500
In1 0.0000 0.0000 0.0000
O1 0.5000 0.5000 0.5000